# 1
CeHo2Pt: relaxed, PBE.

Summary:
Excess energy over the best structure of this formula in the dataset = 0.00 eV per formula unit

a = 3.5136 Å, b = 3.5136 Å, c = 8.4664 Å
α = 90.00°, β = 90.00°, γ = 90.00°
Atoms (fractional coordinates):
Ce1 0.0000 0.0000 0.0000
Ho1 0.5000 0.5000 0.3050
Ho2 0.5000 0.5000 0.6950
Pt1 0.0000 0.0000 0.5000

# 2
CeHoPt2: relaxed, PBE.

a = 3.4666 Å, b = 3.4666 Å, c = 7.2655 Å
α = 90.00°, β = 90.00°, γ = 90.00°
Atoms (fractional coordinates):
Ce1 0.0000 0.0000 0.0000
Ho1 0.0000 0.0000 0.5000
Pt1 0.5000 0.5000 0.2641
Pt2 0.5000 0.5000 0.7359

# 3
CeHo2Pt9: relaxed, PBE.

a = 9.3967 Å, b = 9.3967 Å, c = 9.3967 Å
α = 33.48°, β = 33.48°, γ = 33.48°
Atoms (fractional coordinates):
Ce1 0.0000 0.0000 0.0000
Ho1 0.1400 0.1400 0.1400
Ho2 0.8600 0.8600 0.8600
Pt1 0.0812 0.5882 0.5882
Pt2 0.3331 0.3331 0.3331
Pt3 0.4118 0.4118 0.9188
Pt4 0.4118 0.9188 0.4118
Pt5 0.5000 0.5000 0.5000
Pt6 0.5882 0.0812 0.5882
Pt7 0.5882 0.5882 0.0812
Pt8 0.6669 0.6669 0.6669
Pt9 0.9188 0.4118 0.4118

# 4
Ce2HoPt2: relaxed, PBE.

a = 7.8991 Å, b = 7.8991 Å, c = 3.9052 Å
α = 90.00°, β = 90.00°, γ = 90.00°
Atoms (fractional coordinates):
Ce1 0.1658 0.3342 0.0000
Ce2 0.3342 0.8342 0.0000
Ce3 0.6658 0.1658 0.0000
Ce4 0.8342 0.6658 0.0000
Ho1 0.0000 0.0000 0.5000
Ho2 0.5000 0.5000 0.5000
Pt1 0.1369 0.6369 0.5000
Pt2 0.3631 0.1369 0.5000
Pt3 0.6369 0.8631 0.5000
Pt4 0.8631 0.3631 0.5000

# 5
CeHoPt2: relaxed, PBE.

a = 4.5061 Å, b = 5.6706 Å, c = 5.6706 Å
α = 38.75°, β = 90.00°, γ = 90.00°
Atoms (fractional coordinates):
Ce1 0.0000 0.0000 0.0000
Ho1 0.5000 0.7261 0.7261
Pt1 0.0000 0.2720 0.2720
Pt2 0.5000 0.4555 0.4555

# 6
Ce3HoPt3: relaxed, PBE.

a = 6.9845 Å, b = 6.9845 Å, c = 7.2413 Å
α = 90.10°, β = 90.10°, γ = 100.02°
Atoms (fractional coordinates):
Ce1 0.1770 0.8230 0.0000
Ce2 0.2465 0.7535 0.5000
Ce3 0.3737 0.3737 0.8809
Ce4 0.6263 0.6263 0.1191
Ce5 0.7535 0.2465 0.5000
Ce6 0.8230 0.1770 0.0000
Ho1 0.2494 0.2494 0.3707
Ho2 0.7506 0.7506 0.6293
Pt1 0.0082 0.5027 0.2315
Pt2 0.0746 0.0746 0.7011
Pt3 0.4973 0.9918 0.7685
Pt4 0.5027 0.0082 0.2315
Pt5 0.9254 0.9254 0.2989
Pt6 0.9918 0.4973 0.7685

# 7
Ce3HoPt12: relaxed, PBE.

a = 4.1539 Å, b = 4.1539 Å, c = 16.6176 Å
α = 90.00°, β = 90.00°, γ = 90.00°
Atoms (fractional coordinates):
Ce1 0.0000 0.0000 0.0000
Ce2 0.0000 0.0000 0.2525
Ce3 0.0000 0.0000 0.7475
Ho1 0.0000 0.0000 0.5000
Pt1 0.0000 0.5000 0.1258
Pt2 0.0000 0.5000 0.3756
Pt3 0.0000 0.5000 0.6244
Pt4 0.0000 0.5000 0.8742
Pt5 0.5000 0.0000 0.1258
Pt6 0.5000 0.0000 0.3756
Pt7 0.5000 0.0000 0.6244
Pt8 0.5000 0.0000 0.8742
Pt9 0.5000 0.5000 0.0000
Pt10 0.5000 0.5000 0.2512
Pt11 0.5000 0.5000 0.5000
Pt12 0.5000 0.5000 0.7488

# 8
Ce2Ho2Pt15: relaxed, PBE.

a = 7.0999 Å, b = 7.0999 Å, c = 7.0999 Å
α = 82.29°, β = 82.29°, γ = 82.29°
Atoms (fractional coordinates):
Ce1 0.1431 0.1431 0.1431
Ce2 0.8569 0.8569 0.8569
Ho1 0.3936 0.3936 0.3936
Ho2 0.6064 0.6064 0.6064
Pt1 0.0000 0.5000 0.5000
Pt2 0.1528 0.1528 0.6614
Pt3 0.1528 0.6614 0.1528
Pt4 0.1856 0.5000 0.8144
Pt5 0.1856 0.8144 0.5000
Pt6 0.3386 0.8472 0.8472
Pt7 0.5000 0.0000 0.5000
Pt8 0.5000 0.1856 0.8144
Pt9 0.5000 0.5000 0.0000
Pt10 0.5000 0.8144 0.1856
Pt11 0.6614 0.1528 0.1528
Pt12 0.8144 0.1856 0.5000
Pt13 0.8144 0.5000 0.1856
Pt14 0.8472 0.3386 0.8472
Pt15 0.8472 0.8472 0.3386

# 9
CeHoPtRh: relaxed, PBE.

Summary:
Excess energy over the best structure of this formula in the dataset = 0.00 eV per formula unit

a = 4.2241 Å, b = 5.8311 Å, c = 5.8311 Å
α = 37.86°, β = 90.00°, γ = 90.00°
Atoms (fractional coordinates):
Ce1 0.0000 0.0000 0.0000
Ho1 0.5000 0.7239 0.7239
Pt1 0.0000 0.2756 0.2756
Rh1 0.5000 0.4616 0.4616

# 10
CeHoPtRh: relaxed, PBE.

Summary:
Excess energy over the best structure of this formula in the dataset = 0.47 eV per formula unit

a = 4.9451 Å, b = 4.9451 Å, c = 4.9451 Å
α = 60.00°, β = 60.00°, γ = 60.00°
Atoms (fractional coordinates):
Ce1 0.0000 0.0000 0.0000
Ho1 0.5000 0.5000 0.5000
Pt1 0.2500 0.2500 0.2500
Rh1 0.7500 0.7500 0.7500

# 11
CeHoRuPt: relaxed, PBE.

a = 4.9144 Å, b = 4.9144 Å, c = 4.9144 Å
α = 60.00°, β = 60.00°, γ = 60.00°
Atoms (fractional coordinates):
Ce1 0.0000 0.0000 0.0000
Ho1 0.5000 0.5000 0.5000
Ru1 0.2500 0.2500 0.2500
Pt1 0.7500 0.7500 0.7500

# 12
Ce2HoSi2Pt7: relaxed, PBE.

Summary:
Energy relative to the elements, uncorrected = -1098 meV per atom

a = 4.0802 Å, b = 4.0802 Å, c = 13.8524 Å
α = 95.66°, β = 95.66°, γ = 89.16°
Atoms (fractional coordinates):
Ce1 0.1077 0.1077 0.3555
Ce2 0.8923 0.8923 0.6445
Ho1 0.0000 0.0000 0.0000
Si1 0.4147 0.4147 0.7492
Si2 0.5853 0.5853 0.2508
Pt1 0.0543 0.5532 0.1579
Pt2 0.3816 0.3816 0.5764
Pt3 0.4468 0.9457 0.8421
Pt4 0.5000 0.5000 0.0000
Pt5 0.5532 0.0543 0.1579
Pt6 0.6184 0.6184 0.4236
Pt7 0.9457 0.4468 0.8421

# 13
Ce2HoSi3Pt4: relaxed, PBE.

Summary:
Energy relative to the elements, uncorrected = -1035 meV per atom

a = 4.2301 Å, b = 4.2301 Å, c = 10.9293 Å
α = 90.00°, β = 90.00°, γ = 90.00°
Atoms (fractional coordinates):
Ce1 0.0000 0.5000 0.2283
Ce2 0.5000 0.0000 0.7717
Ho1 0.0000 0.0000 0.5000
Si1 0.0000 0.5000 0.8803
Si2 0.5000 0.0000 0.1197
Si3 0.5000 0.5000 0.5000
Pt1 0.0000 0.0000 0.0000
Pt2 0.0000 0.5000 0.6608
Pt3 0.5000 0.0000 0.3392
Pt4 0.5000 0.5000 0.0000

# 14
CeHo2Si2Pt7: relaxed, PBE.

Summary:
Energy relative to the elements, uncorrected = -1063 meV per atom

a = 4.0509 Å, b = 4.0509 Å, c = 13.8995 Å
α = 96.22°, β = 96.22°, γ = 89.23°
Atoms (fractional coordinates):
Ce1 0.0000 0.0000 0.0000
Ho1 0.1190 0.1190 0.3595
Ho2 0.8810 0.8810 0.6405
Si1 0.4008 0.4008 0.7391
Si2 0.5992 0.5992 0.2609
Pt1 0.0644 0.5637 0.1657
Pt2 0.3644 0.3644 0.5704
Pt3 0.4363 0.9356 0.8343
Pt4 0.5000 0.5000 0.0000
Pt5 0.5637 0.0644 0.1657
Pt6 0.6356 0.6356 0.4296
Pt7 0.9356 0.4363 0.8343

# 15
CeHoSi2Pt4: relaxed, PBE.

Summary:
Energy relative to the elements, uncorrected = -935 meV per atom

a = 4.0863 Å, b = 4.0863 Å, c = 9.2908 Å
α = 90.00°, β = 90.00°, γ = 90.00°
Atoms (fractional coordinates):
Ce1 0.0000 0.0000 0.0000
Ho1 0.0000 0.0000 0.5000
Si1 0.5000 0.5000 0.3758
Si2 0.5000 0.5000 0.6242
Pt1 0.0000 0.5000 0.2364
Pt2 0.0000 0.5000 0.7636
Pt3 0.5000 0.0000 0.2364
Pt4 0.5000 0.0000 0.7636

# 16
Ce2HoSi3Pt12: relaxed, PBE.

Summary:
Energy relative to the elements, uncorrected = -581 meV per atom

a = 7.6210 Å, b = 7.6210 Å, c = 7.6210 Å
α = 66.29°, β = 66.29°, γ = 66.29°
Atoms (fractional coordinates):
Ce1 0.1000 0.1000 0.1000
Ce2 0.9000 0.9000 0.9000
Ho1 0.5000 0.5000 0.5000
Si1 0.0000 0.5000 0.5000
Si2 0.5000 0.0000 0.5000
Si3 0.5000 0.5000 0.0000
Pt1 0.0994 0.6510 0.6510
Pt2 0.1471 0.1471 0.6017
Pt3 0.1471 0.6017 0.1471
Pt4 0.3490 0.3490 0.9006
Pt5 0.3490 0.9006 0.3490
Pt6 0.3983 0.8529 0.8529
Pt7 0.6017 0.1471 0.1471
Pt8 0.6510 0.0994 0.6510
Pt9 0.6510 0.6510 0.0994
Pt10 0.8529 0.3983 0.8529
Pt11 0.8529 0.8529 0.3983
Pt12 0.9006 0.3490 0.3490

# 17
Ce2HoSi4Pt3: relaxed, PBE.

Summary:
Energy relative to the elements, uncorrected = -982 meV per atom

a = 4.2650 Å, b = 4.2650 Å, c = 10.6912 Å
α = 90.00°, β = 90.00°, γ = 90.00°
Atoms (fractional coordinates):
Ce1 0.0000 0.5000 0.2318
Ce2 0.5000 0.0000 0.7682
Ho1 0.0000 0.0000 0.5000
Si1 0.0000 0.0000 0.0000
Si2 0.0000 0.5000 0.6647
Si3 0.5000 0.0000 0.3353
Si4 0.5000 0.5000 0.0000
Pt1 0.0000 0.5000 0.8904
Pt2 0.5000 0.0000 0.1096
Pt3 0.5000 0.5000 0.5000

# 18
CeHoTcPt: relaxed, PBE.

a = 4.9120 Å, b = 4.9120 Å, c = 4.9120 Å
α = 60.00°, β = 60.00°, γ = 60.00°
Atoms (fractional coordinates):
Ce1 0.0000 0.0000 0.0000
Ho1 0.5000 0.5000 0.5000
Tc1 0.7500 0.7500 0.7500
Pt1 0.2500 0.2500 0.2500

# 19
CeHoZnPt: relaxed, PBE.

a = 5.0304 Å, b = 5.0304 Å, c = 5.0304 Å
α = 60.00°, β = 60.00°, γ = 60.00°
Atoms (fractional coordinates):
Ce1 0.0000 0.0000 0.0000
Ho1 0.5000 0.5000 0.5000
Zn1 0.7500 0.7500 0.7500
Pt1 0.2500 0.2500 0.2500

# 20
CeHoPu2: relaxed, PBE.

Summary:
Excess energy over the best structure of this formula in the dataset = 3.14 eV per formula unit

a = 5.7590 Å, b = 5.7590 Å, c = 5.7590 Å
α = 49.44°, β = 49.44°, γ = 49.44°
Atoms (fractional coordinates):
Ce1 0.0000 0.0000 0.0000
Ho1 0.5000 0.5000 0.5000
Pu1 0.1670 0.1670 0.1670
Pu2 0.8330 0.8330 0.8330

We obtain V values of 105 87 225 244 91 348 287 349 88 86 84 228 196 225 155 356 194 84 90 101 Å³ per cell for the records listed above, in that order.
We obtain raw total energy values of -5.855 -6.752 -6.746 -6.641 -6.854 -6.665 -6.942 -6.611 -7.008 -6.890 -7.161 -6.896 -6.723 -6.748 -6.625 -6.426 -6.608 -7.261 -5.129 -8.863 eV/atom for the records listed above, in that order.